(1)
4
Lattice="3.8926 -1.9958 0.0000 3.8926 1.9958 0.0000 -0.0845 0.0000 4.6311" Properties=species:S:1:pos:R:3 comment="AlCu2Se PBE-GGA relaxed" dos_at_fermi_per_ev_cell=1.18 space_group=Cm magnetic_moment_mub_per_atom=0.00 e_form_raw_kj_per_mol_fu=-32 pbc="T T T"
Al 0.0000 0.0000 0.0000
Cu 2.6615 0.0000 3.4794
Cu 5.1213 0.0000 4.3662
Se 6.3026 0.0000 2.0516

---

(2)
3
Lattice="0.0000 3.3542 3.3542 3.3542 0.0000 3.3542 3.3542 3.3542 0.0000" Properties=species:S:1:pos:R:3 comment="Te2W PBE-GGA relaxed" dos_at_fermi_per_ev_cell=2.63 space_group=Fm-3m magnetic_moment_mub_per_atom=0.49 e_form_raw_kj_per_mol_fu=138 pbc="T T T"
Te 1.6771 1.6771 1.6771
Te 5.0313 5.0313 5.0313
W 0.0000 0.0000 0.0000

---

(3)
12
Lattice="5.9831 0.0000 0.0000 0.0000 3.6411 0.0000 -1.1525 0.0000 19.3041" Properties=species:S:1:pos:R:3 comment="Pr7Sm3Ho2 PBE-GGA relaxed" relative_energy_mev_per_atom=19 dos_at_fermi_per_ev_cell=17.39 space_group=P2/m formation_energy_ev_per_fu=1.094 magnetic_moment_mub_per_atom=0.00 pbc="T T T"
Pr 0.0000 0.0000 0.0000
Pr 0.8645 1.8205 3.5514
Pr 0.9234 1.8205 10.3264
Pr 0.9459 0.0000 16.4861
Pr 3.8846 0.0000 2.8180
Pr 3.9071 1.8205 8.9777
Pr 3.9660 1.8205 15.7527
Sm 0.8656 0.0000 7.0732
Sm 2.9915 1.8205 0.0000
Sm 3.9649 0.0000 12.2309
Ho 0.9509 1.8205 13.5697
Ho 3.8796 1.8205 5.7344

---

(4)
5
Lattice="-2.0132 2.0132 4.9589 2.0132 -2.0132 4.9589 2.0132 2.0132 -4.9589" Properties=species:S:1:pos:R:3 comment="NdMnP2Ru PBE-GGA relaxed" dos_at_fermi_per_ev_cell=2.92 space_group=I-4m2 formation_energy_ev_per_fu=-4.689 magnetic_moment_mub_per_atom=0.00 pbc="T T T"
Nd 0.0000 0.0000 0.0000
Mn 2.0132 0.0000 2.4795
P 0.0000 0.0000 3.5865
P 0.0000 0.0000 6.3313
Ru 0.0000 2.0132 2.4795